#a
Compound: K2Sn2Pt
Source: Alexandria
Functional: GGA-PBE
Structure: relaxed

Values from the calculation:
M_tot = 0.00 μB/f.u.

Cell and atoms, written as CIF:
```
data_K2Sn2Pt
_chemical_formula_sum 'K8 Sn8 Pt4'
_cell_length_a 4.8147
_cell_length_b 4.8147
_cell_length_c 32.6011
_cell_angle_alpha 90.00
_cell_angle_beta 90.00
_cell_angle_gamma 90.00
_space_group_name_H-M_alt 'I 41/a m d'
_space_group_IT_number 141
loop_
_space_group_symop_operation_xyz
'x,y,z'
'-x,-y,-z'
'-y+1/4,x+3/4,z+1/4'
'y+1/4,-x+3/4,-z+1/4'
'-x+1/2,-y,z+1/2'
'x+1/2,y,-z+1/2'
'y+1/4,-x+1/4,z+3/4'
'-y+1/4,x+1/4,-z+3/4'
'x,-y,-z'
'-x,y,z'
'-y+1/4,-x+1/4,-z+3/4'
'y+1/4,x+1/4,z+3/4'
'-x+1/2,y,-z+1/2'
'x+1/2,-y,z+1/2'
'y+1/4,x+3/4,-z+1/4'
'-y+1/4,-x+3/4,z+1/4'
'x+1/2,y+1/2,z+1/2'
'-x+1/2,-y+1/2,-z+1/2'
'-y+3/4,x+1/4,z+3/4'
'y+3/4,-x+1/4,-z+3/4'
'-x,-y+1/2,z'
'x,y+1/2,-z'
'y+3/4,-x+3/4,z+1/4'
'-y+3/4,x+3/4,-z+1/4'
'x+1/2,-y+1/2,-z+1/2'
'-x+1/2,y+1/2,z+1/2'
'-y+3/4,-x+3/4,-z+1/4'
'y+3/4,x+3/4,z+1/4'
'-x,y+1/2,-z'
'x,-y+1/2,z'
'y+3/4,x+1/4,-z+3/4'
'-y+3/4,-x+1/4,z+3/4'
loop_
_atom_site_label
_atom_site_type_symbol
_atom_site_fract_x
_atom_site_fract_y
_atom_site_fract_z
_atom_site_occupancy
K1 K 0.0000 0.2500 0.0482 1
Sn1 Sn 0.0000 0.2500 0.1569 1
Pt1 Pt 0.0000 0.2500 0.3750 1
```

***

#b
Compound: K2Sn2Pt
Source: Alexandria
Functional: GGA-PBE
Structure: relaxed

Values from the calculation:
M_tot = 0.00 μB/f.u.

Cell and atoms, written as CIF:
```
data_K2Sn2Pt
_chemical_formula_sum 'K4 Sn4 Pt2'
_cell_length_a 7.0836
_cell_length_b 7.0836
_cell_length_c 5.9154
_cell_angle_alpha 90.00
_cell_angle_beta 90.00
_cell_angle_gamma 90.00
_space_group_name_H-M_alt 'P 4/m b m'
_space_group_IT_number 127
_space_group_name_Hall '-P 4 2ab'
loop_
_atom_site_label
_atom_site_type_symbol
_atom_site_fract_x
_atom_site_fract_y
_atom_site_fract_z
_atom_site_occupancy
K1 K 0.1814 0.3186 0.0000 1
Sn1 Sn 0.1447 0.6447 0.5000 1
Pt1 Pt 0.0000 0.0000 0.5000 1
```

***

Most favorable structure: #b. The second most favorable one is 59 meV/atom above it.

***

#a
Compound: K2Sn5Pt3
Source: Alexandria
Functional: GGA-PBE
Structure: relaxed

Values from the calculation:
M_tot = 0.00 μB/f.u.

Cell and atoms, written as CIF:
```
data_K2Sn5Pt3
_chemical_formula_sum 'K8 Sn20 Pt12'
_cell_length_a 4.1997
_cell_length_b 35.7571
_cell_length_c 7.3803
_cell_angle_alpha 90.00
_cell_angle_beta 90.00
_cell_angle_gamma 90.00
_space_group_name_H-M_alt 'C m c 21'
_space_group_IT_number 36
_space_group_name_Hall 'C 2c -2'
loop_
_atom_site_label
_atom_site_type_symbol
_atom_site_fract_x
_atom_site_fract_y
_atom_site_fract_z
_atom_site_occupancy
K1 K 0.0000 0.0150 0.0000 1
K2 K 0.0000 0.3251 0.0103 1
Sn1 Sn 0.0000 0.1025 0.3860 1
Sn2 Sn 0.0000 0.1730 0.9580 1
Sn3 Sn 0.0000 0.2418 0.2435 1
Sn4 Sn 0.0000 0.3944 0.5030 1
Sn5 Sn 0.0000 0.4422 0.1608 1
Pt1 Pt 0.0000 0.1068 0.7584 1
Pt2 Pt 0.0000 0.2821 0.5440 1
Pt3 Pt 0.0000 0.4379 0.7974 1
```

***

#b
Compound: K2Sn5Pt3
Source: Alexandria
Functional: GGA-PBE
Structure: relaxed

Values from the calculation:
M_tot = 0.00 μB/f.u.

Cell and atoms, written as CIF:
```
data_K2Sn5Pt3
_chemical_formula_sum 'K8 Sn20 Pt12'
_cell_length_a 11.1735
_cell_length_b 13.3111
_cell_length_c 6.7863
_cell_angle_alpha 90.00
_cell_angle_beta 90.00
_cell_angle_gamma 90.00
_space_group_name_H-M_alt 'I b a m'
_space_group_IT_number 72
_space_group_name_Hall '-I 2 2c'
loop_
_atom_site_label
_atom_site_type_symbol
_atom_site_fract_x
_atom_site_fract_y
_atom_site_fract_z
_atom_site_occupancy
K1 K 0.2372 0.1411 0.0000 1
Sn1 Sn 0.0000 0.0000 0.2500 1
Sn2 Sn 0.0000 0.2648 0.2500 1
Sn3 Sn 0.1559 0.4072 0.0000 1
Pt1 Pt 0.0000 0.5000 0.2500 1
Pt2 Pt 0.1079 0.1317 0.5000 1
```

***

Most favorable structure: #b. The second most favorable one is 104 meV/atom above it.